# TlAgBr4 (PBE, optimized geometry)
data_TlAgBr4
_space_group_name_H-M_alt 'F -4 3 m'
_space_group_IT_number 216
_space_group_name_Hall 'F -4 2 3'
_cell_length_a 9.218
_cell_length_b 9.218
_cell_length_c 9.218
_cell_angle_alpha 90.00
_cell_angle_beta 90.00
_cell_angle_gamma 90.00
loop_
_atom_site_label
_atom_site_fract_x
_atom_site_fract_y
_atom_site_fract_z
Tl1 0.000 0.000 0.000
Ag1 0.250 0.250 0.750
Br1 0.125 0.125 0.375
# ΔE_f (raw) = 0.247 eV per atom
# Crystal system = cubic
# E = -41.70 eV/cell
# Total magnetic moment = 7.4 Bohr magnetons per cell